The following is a DFT calculation (PBE) of a relaxed structure of SrMgGa3.

Results
symmetry: Pm-3m, No. 221
total magnetic moment: 0.0 Bohr magnetons per cell
density of states at the Fermi level: 0.9944 states/eV per atom
formation energy: 852 meV per atom
DFT total energy: -1.6198 eV per atom
density: 2.72 g cm⁻³

Cell lengths 5.8106, 5.8106, 5.8106 Å; angles 90.00, 90.00, 90.00 degrees
With the nearest neighbours (Å) after each atom.
Sites, in units of the cell vectors:
Ga 0.0000 0.0000 0.5000  2 Sr 2.91
Ga 0.0000 0.5000 0.0000  2 Sr 2.91
Ga 0.5000 0.0000 0.0000  2 Sr 2.91
Mg 0.5000 0.5000 0.5000  12 Ga 4.11
Sr 0.0000 0.0000 0.0000  6 Ga 2.91